(1)
## Pm3FeAg (GGA-PBE)

Data for an optimized crystal structure of Pm3FeAg.

The structure in POSCAR format:
```
Pm3FeAg
1.0
-3.348 -3.949 -0.630
2.496 -1.421 -4.353
3.124 -3.096 2.802
Fe Ag Pm
1 1 3
Cartesian
0.000 0.000 0.000
1.136 -4.233 -1.091
1.248 -0.711 -2.177
1.562 -1.548 1.401
-1.674 -1.974 -0.315
```

Summary:
Total magnetization (μB per formula unit): 0.001
Density of states at the Fermi level (states/eV per cell): 6.6
ΔE_f (eV/atom): 0.1321


(2)
## PmFe4Ag (GGA-PBE)

Data for an optimized crystal structure of PmFe4Ag.

The structure in POSCAR format:
```
PmFe4Ag
1.0
5.102 0.000 0.000
2.551 4.418 0.000
2.551 1.473 4.166
Fe Ag Pm
4 1 1
Cartesian
5.102 2.945 0.528
5.102 1.480 2.601
6.371 3.678 2.601
3.832 3.678 2.601
2.551 1.473 1.041
0.000 0.000 0.000
```

Summary:
Total magnetization (μB per formula unit): 9.678
Density of states at the Fermi level (states/eV per cell): 4.8
ΔE_f (eV/atom): 0.1100